*w*
Computed, not measured: a relaxed TlSi2Hg crystal at the GGA-PBE level of DFT.

abc: 4.7090 4.7090 3.9404
angles: 90.00 90.00 90.00
Last column: nearest neighbours and their distance in Å.
Atoms (fractional coordinates):
1 Tl 0.0000 0.0000 0.0000  8 Si 3.07, 4 Hg 3.33
2 Si 0.0000 0.5000 0.5000  4 Hg 3.07, 4 Tl 3.07, 4 Si 3.33
3 Si 0.5000 0.0000 0.5000  4 Hg 3.07, 4 Tl 3.07, 4 Si 3.33
4 Hg 0.5000 0.5000 0.0000  8 Si 3.07, 4 Tl 3.33

Computed properties:
The value obtained for the density of states at the Fermi level is 1.7 states/eV per cell.

*x*
Computed, not measured: a relaxed TlSi2Hg crystal at the GGA-PBE level of DFT.

abc: 3.1977 5.1166 5.3541
angles: 90.00 90.00 90.00
Last column: nearest neighbours and their distance in Å.
Atoms (fractional coordinates):
1 Tl 0.0000 0.0000 0.0000  4 Si 3.02, 4 Hg 3.12, 2 Tl 3.20
2 Si 0.0000 0.5000 0.5000  4 Hg 3.02, 6 Si 3.12-3.20
3 Si 0.5000 0.5000 0.0000  4 Tl 3.02, 6 Si 3.12-3.20
4 Hg 0.5000 0.0000 0.5000  4 Si 3.02, 4 Tl 3.12, 2 Hg 3.20

Computed properties:
The value obtained for the density of states at the Fermi level is 1.3 states/eV per cell.

What should be chosen as the least stable of them? Choose *w*.